Below is crystalline ScHPd2Au at its relaxed geometry, with properties calculated at the PBE level.

Summary:
Magnetization in μB/atom: 0.000
VASP energy in eV/atom: -5.122
Symmetry: P4/mmm

Structure (POSCAR):
```
ScHPd2Au
1.0
-3.6013 1.7826 0.7425
-1.7073 -2.2049 -2.9870
-0.9359 -3.0522 2.7880
Sc Pd H Au
1 2 1 1
direct
0.5000 0.5000 0.5000 Sc
0.5000 0.0000 0.0000 Pd
0.0000 0.5000 0.0000 Pd
0.0000 0.0000 0.0000 H
0.0000 0.0000 0.5000 Au
```